Record 1
An optimized crystal structure of La2As. Source: Alexandria, functional PBE.

The calculation puts the density of states at the Fermi level at 1.544 states/eV per atom.

It has space group I4/mcm (No. 140), with a = 7.428 Å, b = 7.428 Å, c = 6.393 Å, α = 90.00°, β = 90.00° and γ = 90.00°. Symmetry generates all atoms from La at (0.168, 0.332, 0.000) and As at (0.000, 0.000, 0.250).



Record 2
An optimized crystal structure of LaAs. Source: Alexandria, functional PBE.

It has space group P-3m1 (No. 164), with a = 5.0922 Å, b = 5.0922 Å, c = 21.4528 Å, α = 90.00°, β = 90.00° and γ = 120.00°. Symmetry generates all atoms from La at (0.0000, 0.0000, 0.2358), La at (0.3333, 0.6667, 0.0953), La at (0.3333, 0.6667, 0.5702), As at (0.0000, 0.0000, 0.0980), As at (0.3333, 0.6667, 0.2331) and As at (0.3333, 0.6667, 0.4325).



Total magnetization / μB per atom: 0.0030 0.0000
Total DFT energy (no corrections) / eV/atom: -5.7369 -5.7983
Calculated formation energy / meV per atom: -902 -1010